# 1
VASP calculation (PBE-GGA) on Ta6RhW after structural relaxation.

abc: 5.2045 5.2045 5.2045
angles: 90.00 90.00 90.00
With the nearest neighbours (Å) after each atom.
Space group Pm-3 (No. 200)
Asymmetric unit:
Ta 0.0000 0.2502 0.5000  2 Ta 2.60, 2 W 2.91, 2 Rh 2.91
Rh 0.0000 0.0000 0.0000  12 Ta 2.91
W 0.5000 0.5000 0.5000  12 Ta 2.91

- polymorph energy (0 for the lowest one) (eV/atom) = 0.015
- crystal system = cubic
- N(E_F) (states/eV per cell) = 7.79
- energy of formation (eV per atom) = -0.171

***

# 2
VASP calculation (PBE-GGA) on TaRh3W after structural relaxation.

abc: 4.6395 4.6395 4.6395
angles: 90.00 90.00 90.00
With the nearest neighbours (Å) after each atom.
Space group Pm-3m (No. 221)
Asymmetric unit:
Ta 0.0000 0.0000 0.0000  12 Rh 3.28
Rh 0.0000 0.5000 0.5000  2 W 2.32
W 0.5000 0.5000 0.5000  6 Rh 2.32

- polymorph energy (0 for the lowest one) (eV/atom) = 0.000
- crystal system = cubic
- N(E_F) (states/eV per cell) = 8.74
- energy of formation (eV per atom) = 1.348

***

# 3
VASP calculation (PBE-GGA) on TaRhW3 after structural relaxation.

abc: 4.7156 4.7156 4.7156
angles: 90.00 90.00 90.00
With the nearest neighbours (Å) after each atom.
Space group Pm-3m (No. 221)
Asymmetric unit:
Ta 0.0000 0.0000 0.0000  6 W 2.36
Rh 0.5000 0.5000 0.5000  12 W 3.33
W 0.0000 0.0000 0.5000  2 Ta 2.36

- polymorph energy (0 for the lowest one) (eV/atom) = 0.472
- crystal system = cubic
- N(E_F) (states/eV per cell) = 6.70
- energy of formation (eV per atom) = 2.374

***

# 4
VASP calculation (PBE-GGA) on Ta3RhW after structural relaxation.

abc: 4.7282 4.7282 4.7282
angles: 90.00 90.00 90.00
With the nearest neighbours (Å) after each atom.
Space group Pm-3m (No. 221)
Asymmetric unit:
Ta 0.0000 0.0000 0.5000  2 Rh 2.36
Rh 0.0000 0.0000 0.0000  6 Ta 2.36
W 0.5000 0.5000 0.5000  12 Ta 3.34

- polymorph energy (0 for the lowest one) (eV/atom) = 0.000
- crystal system = cubic
- N(E_F) (states/eV per cell) = 6.71
- energy of formation (eV per atom) = 1.466

***

# 5
VASP calculation (PBE-GGA) on Ta2RhW after structural relaxation.

abc: 3.3299 4.5261 8.8009
angles: 90.00 90.00 90.00
With the nearest neighbours (Å) after each atom.
Space group Cmmm (No. 65)
Asymmetric unit:
Ta 0.0000 0.0000 0.2426  2 Rh 2.71, 4 Ta 2.81, 2 W 2.81
Rh 0.0000 0.5000 0.0000  4 Ta 2.71, 4 Rh 2.81
W 0.0000 0.5000 0.5000  4 W 2.81, 4 Ta 2.81

- crystal system = orthorhombic
- N(E_F) (states/eV per cell) = 8.03
- energy of formation (eV per atom) = -0.201

***

# 6
VASP calculation (PBE-GGA) on Ta2RhW after structural relaxation.

abc: 3.3382 4.3535 4.5836
angles: 90.00 90.00 90.00
With the nearest neighbours (Å) after each atom.
Space group Pmmm (No. 47)
Asymmetric unit:
Ta 0.0000 0.0000 0.0000  4 W 2.74, 4 Ta 2.84
Ta 0.5000 0.0000 0.5000  4 Rh 2.74, 4 Ta 2.84
Rh 0.0000 0.5000 0.5000  4 Ta 2.74, 4 W 2.84
W 0.5000 0.5000 0.0000  4 Ta 2.74, 4 Rh 2.84

- crystal system = orthorhombic
- N(E_F) (states/eV per cell) = 4.14
- energy of formation (eV per atom) = -0.090

***

# 7
VASP calculation (PBE-GGA) on Ta6RhW after structural relaxation.

abc: 13.9597 4.5941 4.5942
angles: 90.00 109.15 90.00
With the nearest neighbours (Å) after each atom.
Space group C2/m (No. 12)
Asymmetric unit:
Ta 0.1222 0.0000 0.1221  2 W 2.80-2.81, 2 Rh 2.81, 4 Ta 2.83-2.87
Ta 0.1222 0.5000 0.6223  2 Rh 2.80-2.81, 2 W 2.81, 4 Ta 2.83-2.87
Ta 0.2477 0.0000 0.7477  8 Ta 2.83-2.87
Rh 0.0000 0.5000 0.0000  8 Ta 2.80-2.81
W 0.0000 0.0000 0.5000  8 Ta 2.80-2.81

- polymorph energy (0 for the lowest one) (eV/atom) = 0.000
- crystal system = monoclinic
- N(E_F) (states/eV per cell) = 10.17
- energy of formation (eV per atom) = -0.186

***

# 8
VASP calculation (PBE-GGA) on Ta2RhW after structural relaxation.

abc: 2.7974 4.4690 5.3907
angles: 90.00 99.70 90.00
With the nearest neighbours (Å) after each atom.
Space group P2/m (No. 10)
Asymmetric unit:
Ta 0.2412 0.0000 0.2542  2 W 2.74, 2 Rh 2.78, 4 Ta 2.80-2.84
Rh 0.5000 0.5000 0.0000  4 Ta 2.78, 2 Rh 2.80, 2 W 2.82
W 0.0000 0.5000 0.5000  4 Ta 2.74, 2 W 2.80, 2 Rh 2.82

- crystal system = monoclinic
- N(E_F) (states/eV per cell) = 3.70
- energy of formation (eV per atom) = -0.134

***

# 9
VASP calculation (PBE-GGA) on Ta5RhW4 after structural relaxation.

abc: 3.2427 3.2427 16.1065
angles: 90.00 90.00 90.00
With the nearest neighbours (Å) after each atom.
Space group P4/mmm (No. 123)
Asymmetric unit:
Ta 0.0000 0.0000 0.0000  8 W 2.81
Ta 0.0000 0.0000 0.2019  8 W 2.81-2.82
Ta 0.0000 0.0000 0.3998  4 W 2.77, 4 Rh 2.80
Rh 0.5000 0.5000 0.5000  8 Ta 2.80
W 0.5000 0.5000 0.1005  8 Ta 2.81
W 0.5000 0.5000 0.3034  8 Ta 2.77-2.82

- crystal system = tetragonal
- N(E_F) (states/eV per cell) = 5.46
- energy of formation (eV per atom) = -0.183

***

# 10
VASP calculation (PBE-GGA) on TaRhW4 after structural relaxation.

abc: 7.4218 7.4218 7.4218
angles: 90.00 90.00 90.00
With the nearest neighbours (Å) after each atom.
Space group F-43m (No. 216)
Asymmetric unit:
Ta 0.0000 0.0000 0.0000  12 W 3.07, 4 Rh 3.21
Rh 0.2500 0.2500 0.2500  12 W 3.08, 4 Ta 3.21
W 0.1263 0.1263 0.6263  6 W 2.60-2.65

- crystal system = cubic
- N(E_F) (states/eV per cell) = 20.37
- energy of formation (eV per atom) = 0.278

***

# 11
VASP calculation (PBE-GGA) on Ta2RhW after structural relaxation.

abc: 3.4409 4.4150 8.7656
angles: 90.00 90.00 90.00
With the nearest neighbours (Å) after each atom.
Space group Cmm2 (No. 35)
Asymmetric unit:
Ta 0.0000 0.0000 0.0000  2 Rh 2.72, 6 Ta 2.80-2.92
Ta 0.0000 0.5000 0.2692  6 Ta 2.80-2.92, 2 W 2.85
Rh 0.0000 0.5000 0.7591  2 W 2.66, 2 Ta 2.72, 4 Rh 2.80
W 0.0000 0.0000 0.5282  2 Rh 2.66, 4 W 2.80, 2 Ta 2.85

- crystal system = orthorhombic
- N(E_F) (states/eV per cell) = 7.00
- energy of formation (eV per atom) = -0.105

***

# 12
VASP calculation (PBE-GGA) on Ta2RhW after structural relaxation.

abc: 2.7971 4.6127 5.2504
angles: 90.00 100.59 90.00
With the nearest neighbours (Å) after each atom.
Space group Pm (No. 6)
Asymmetric unit:
Ta 0.0000 0.0000 0.0000  2 Rh 2.73-2.74, 2 W 2.74, 4 Ta 2.80-2.85
Ta 0.2582 0.5000 0.7349  2 W 2.70-2.78, 2 Rh 2.76, 4 Ta 2.80-2.85
Rh 0.5064 0.0000 0.5001  4 Ta 2.73-2.76, 2 Rh 2.80, 2 W 2.87
W 0.7563 0.5000 0.2267  4 Ta 2.70-2.78, 2 W 2.80, 2 Rh 2.87

- crystal system = monoclinic
- N(E_F) (states/eV per cell) = 3.03
- energy of formation (eV per atom) = -0.126